[1]
# NbTlZnFe

A geometry-optimized NbTlZnFe structure (GGA-PBE, OQMD).

Values from the calculation:
**Offset from the most stable computed form**: 136.7 meV/atom

Lattice parameters (Å, degrees): 6.4676 6.4676 6.4676 90.00 90.00 90.00
With the nearest neighbours (Å) after each atom.
Space group F-43m (No. 216)
Asymmetric unit:
Nb  0.0000  0.0000  0.0000 [4 per cell]  4 Zn 2.80, 4 Tl 2.80
Tl  0.2500  0.2500  0.2500 [4 per cell]  4 Nb 2.80, 4 Fe 2.80
Zn  0.2500  0.2500  0.7500 [4 per cell]  4 Nb 2.80, 4 Fe 2.80
Fe  0.0000  0.0000  0.5000 [4 per cell]  4 Tl 2.80, 4 Zn 2.80

=====

[2]
# ZrNbTlFe

A geometry-optimized ZrNbTlFe structure (GGA-PBE, OQMD).

Values from the calculation:
**Offset from the most stable computed form**: 0.0 meV/atom

Lattice parameters (Å, degrees): 6.6258 6.6258 6.6258 90.00 90.00 90.00
With the nearest neighbours (Å) after each atom.
Space group F-43m (No. 216)
Asymmetric unit:
Zr  0.0000  0.0000  0.0000 [4 per cell]  4 Tl 2.87, 4 Nb 2.87
Nb  0.2500  0.2500  0.7500 [4 per cell]  4 Zr 2.87, 4 Fe 2.87
Tl  0.2500  0.2500  0.2500 [4 per cell]  4 Fe 2.87, 4 Zr 2.87
Fe  0.0000  0.0000  0.5000 [4 per cell]  4 Nb 2.87, 4 Tl 2.87

=====

[3]
# UNbFe

A geometry-optimized UNbFe structure (GGA-PBE, OQMD).

Values from the calculation:
**Offset from the most stable computed form**: 397.4 meV/atom
**ΔH_f (0 K)**: 0.873 eV/atom

Lattice parameters (Å, degrees): 6.0785 6.0785 6.0785 90.00 90.00 90.00
With the nearest neighbours (Å) after each atom.
Space group F-43m (No. 216)
Asymmetric unit:
U  0.0000  0.0000  0.0000 [4 per cell]  4 Nb 2.63, 4 Fe 2.63
Nb  0.2500  0.2500  0.2500 [4 per cell]  4 U 2.63
Fe  0.2500  0.2500  0.7500 [4 per cell]  4 U 2.63

=====

[4]
# UNbFe

A geometry-optimized UNbFe structure (GGA-PBE, OQMD).

Values from the calculation:
**Offset from the most stable computed form**: 0.0 meV/atom
**ΔH_f (0 K)**: 0.476 eV/atom

Lattice parameters (Å, degrees): 6.0693 6.0693 6.0693 90.00 90.00 90.00
With the nearest neighbours (Å) after each atom.
Space group F-43m (No. 216)
Asymmetric unit:
U  0.0000  0.0000  0.0000 [4 per cell]  4 Fe 2.63
Nb  0.0000  0.0000  0.5000 [4 per cell]  4 Fe 2.63
Fe  0.2500  0.2500  0.7500 [4 per cell]  4 Nb 2.63, 4 U 2.63

=====

[5]
# NbFeW2

A geometry-optimized NbFeW2 structure (GGA-PBE, OQMD).

Values from the calculation:
**ΔH_f (0 K)**: 0.081 eV/atom

Lattice parameters (Å, degrees): 6.2768 6.2768 6.2768 90.00 90.00 90.00
With the nearest neighbours (Å) after each atom.
Space group F-43m (No. 216)
Asymmetric unit:
Nb  0.0000  0.0000  0.0000 [4 per cell]  4 Fe 2.72, 4 W 2.72
Fe  0.2500  0.2500  0.2500 [4 per cell]  4 Nb 2.72, 4 W 2.72
W  0.0000  0.0000  0.5000 [4 per cell]  4 W 2.72, 4 Fe 2.72
W  0.2500  0.2500  0.7500 [4 per cell]  4 Nb 2.72, 4 W 2.72

=====

[6]
# Nb2FeW

A geometry-optimized Nb2FeW structure (GGA-PBE, OQMD).

Values from the calculation:
**ΔH_f (0 K)**: 0.101 eV/atom

Lattice parameters (Å, degrees): 6.3123 6.3123 6.3123 90.00 90.00 90.00
With the nearest neighbours (Å) after each atom.
Space group F-43m (No. 216)
Asymmetric unit:
Nb  0.0000  0.0000  0.0000 [4 per cell]  4 Fe 2.73, 4 Nb 2.73
Nb  0.2500  0.2500  0.2500 [4 per cell]  4 Nb 2.73, 4 W 2.73
Fe  0.2500  0.2500  0.7500 [4 per cell]  4 Nb 2.73, 4 W 2.73
W  0.0000  0.0000  0.5000 [4 per cell]  4 Nb 2.73, 4 Fe 2.73

=====

[7]
# NbZnFeW

A geometry-optimized NbZnFeW structure (GGA-PBE, OQMD).

Values from the calculation:
**Offset from the most stable computed form**: 0.0 meV/atom
**ΔH_f (0 K)**: 0.303 eV/atom

Lattice parameters (Å, degrees): 6.2261 6.2261 6.2261 90.00 90.00 90.00
With the nearest neighbours (Å) after each atom.
Space group F-43m (No. 216)
Asymmetric unit:
Nb  0.0000  0.0000  0.0000 [4 per cell]  4 W 2.70, 4 Zn 2.70
Zn  0.2500  0.2500  0.2500 [4 per cell]  4 Nb 2.70, 4 Fe 2.70
Fe  0.0000  0.0000  0.5000 [4 per cell]  4 Zn 2.70, 4 W 2.70
W  0.2500  0.2500  0.7500 [4 per cell]  4 Fe 2.70, 4 Nb 2.70

=====

[8]
# YNbFe2

A geometry-optimized YNbFe2 structure (GGA-PBE, OQMD).

Values from the calculation:
**ΔH_f (0 K)**: 0.387 eV/atom

Lattice parameters (Å, degrees): 6.3669 6.3669 6.3669 90.00 90.00 90.00
With the nearest neighbours (Å) after each atom.
Space group F-43m (No. 216)
Asymmetric unit:
Y  0.0000  0.0000  0.0000 [4 per cell]  4 Fe 2.76, 4 Nb 2.76
Nb  0.2500  0.2500  0.7500 [4 per cell]  4 Fe 2.76, 4 Y 2.76
Fe  0.0000  0.0000  0.5000 [4 per cell]  4 Nb 2.76, 4 Fe 2.76
Fe  0.2500  0.2500  0.2500 [4 per cell]  4 Fe 2.76, 4 Y 2.76

=====

[9]
# YNbFe

A geometry-optimized YNbFe structure (GGA-PBE, OQMD).

Values from the calculation:
**Offset from the most stable computed form**: 0.0 meV/atom
**ΔH_f (0 K)**: 0.931 eV/atom

Lattice parameters (Å, degrees): 6.3107 6.3107 6.3107 90.00 90.00 90.00
With the nearest neighbours (Å) after each atom.
Space group F-43m (No. 216)
Asymmetric unit:
Y  0.0000  0.0000  0.0000 [4 per cell]  4 Nb 2.73
Nb  0.2500  0.2500  0.7500 [4 per cell]  4 Fe 2.73, 4 Y 2.73
Fe  0.0000  0.0000  0.5000 [4 per cell]  4 Nb 2.73

=====

[10]
# YNb2Fe

A geometry-optimized YNb2Fe structure (GGA-PBE, OQMD).

Values from the calculation:
**ΔH_f (0 K)**: 0.353 eV/atom

Lattice parameters (Å, degrees): 6.6648 6.6648 6.6648 90.00 90.00 90.00
With the nearest neighbours (Å) after each atom.
Space group F-43m (No. 216)
Asymmetric unit:
Y  0.0000  0.0000  0.0000 [4 per cell]  4 Nb 2.89, 4 Fe 2.89
Nb  0.0000  0.0000  0.5000 [4 per cell]  4 Fe 2.89, 4 Nb 2.89
Nb  0.2500  0.2500  0.7500 [4 per cell]  4 Nb 2.89, 4 Y 2.89
Fe  0.2500  0.2500  0.2500 [4 per cell]  4 Nb 2.89, 4 Y 2.89

=====

[11]
# YNbFe

A geometry-optimized YNbFe structure (GGA-PBE, OQMD).

Values from the calculation:
**Offset from the most stable computed form**: 563.3 meV/atom
**ΔH_f (0 K)**: 1.494 eV/atom

Lattice parameters (Å, degrees): 6.4605 6.4605 6.4605 90.00 90.00 90.00
With the nearest neighbours (Å) after each atom.
Space group F-43m (No. 216)
Asymmetric unit:
Y  0.0000  0.0000  0.0000 [4 per cell]  4 Nb 2.80, 4 Fe 2.80
Nb  0.2500  0.2500  0.2500 [4 per cell]  4 Y 2.80
Fe  0.2500  0.2500  0.7500 [4 per cell]  4 Y 2.80

=====

[12]
# YNbZnFe

A geometry-optimized YNbZnFe structure (GGA-PBE, OQMD).

Values from the calculation:
**Offset from the most stable computed form**: 0.0 meV/atom
**ΔH_f (0 K)**: 0.250 eV/atom

Lattice parameters (Å, degrees): 6.4534 6.4534 6.4534 90.00 90.00 90.00
With the nearest neighbours (Å) after each atom.
Space group F-43m (No. 216)
Asymmetric unit:
Y  0.0000  0.0000  0.0000 [4 per cell]  4 Nb 2.79, 4 Zn 2.79
Nb  0.2500  0.2500  0.7500 [4 per cell]  4 Fe 2.79, 4 Y 2.79
Zn  0.2500  0.2500  0.2500 [4 per cell]  4 Fe 2.79, 4 Y 2.79
Fe  0.0000  0.0000  0.5000 [4 per cell]  4 Nb 2.79, 4 Zn 2.79

=====

[13]
# YNbZnFe

A geometry-optimized YNbZnFe structure (GGA-PBE, OQMD).

Values from the calculation:
**Offset from the most stable computed form**: 205.1 meV/atom
**ΔH_f (0 K)**: 0.455 eV/atom

Lattice parameters (Å, degrees): 6.5795 6.5795 6.5795 90.00 90.00 90.00
With the nearest neighbours (Å) after each atom.
Space group F-43m (No. 216)
Asymmetric unit:
Y  0.0000  0.0000  0.0000 [4 per cell]  4 Nb 2.85, 4 Fe 2.85
Nb  0.2500  0.2500  0.2500 [4 per cell]  4 Zn 2.85, 4 Y 2.85
Zn  0.0000  0.0000  0.5000 [4 per cell]  4 Nb 2.85, 4 Fe 2.85
Fe  0.2500  0.2500  0.7500 [4 per cell]  4 Zn 2.85, 4 Y 2.85

=====

[14]
# NbZn2Fe

A geometry-optimized NbZn2Fe structure (GGA-PBE, OQMD).

Values from the calculation:
**Offset from the most stable computed form**: 0.0 meV/atom
**ΔH_f (0 K)**: 0.020 eV/atom

Lattice parameters (Å, degrees): 6.1027 6.1027 6.1027 90.00 90.00 90.00
With the nearest neighbours (Å) after each atom.
Space group F-43m (No. 216)
Asymmetric unit:
Nb  0.0000  0.0000  0.0000 [4 per cell]  4 Fe 2.64, 4 Zn 2.64
Zn  0.0000  0.0000  0.5000 [4 per cell]  4 Fe 2.64, 4 Zn 2.64
Zn  0.2500  0.2500  0.7500 [4 per cell]  4 Nb 2.64, 4 Zn 2.64
Fe  0.2500  0.2500  0.2500 [4 per cell]  4 Nb 2.64, 4 Zn 2.64

=====

[15]
# NbZn2Fe

A geometry-optimized NbZn2Fe structure (GGA-PBE, OQMD).

Values from the calculation:
**Offset from the most stable computed form**: 133.4 meV/atom
**ΔH_f (0 K)**: 0.153 eV/atom

Lattice parameters (Å, degrees): 6.1429 6.1429 6.1429 90.00 90.00 90.00
With the nearest neighbours (Å) after each atom.
Space group Fm-3m (No. 225)
Asymmetric unit:
Nb  0.0000  0.0000  0.0000 [4 per cell]  8 Zn 2.66
Zn  0.2500  0.2500  0.2500 [8 per cell]  4 Nb 2.66, 4 Fe 2.66
Fe  0.0000  0.0000  0.5000 [4 per cell]  8 Zn 2.66

=====

[16]
# NbZn20Fe2

A geometry-optimized NbZn20Fe2 structure (GGA-PBE, OQMD).

Values from the calculation:
**ΔH_f (0 K)**: -0.079 eV/atom

Lattice parameters (Å, degrees): 13.7956 13.7956 13.7956 90.00 90.00 90.00
With the nearest neighbours (Å) after each atom.
Space group Fd-3m (No. 227, origin choice 2)
Asymmetric unit:
Nb  0.1250  0.1250  0.1250 [8 per cell]  16 Zn 2.99-3.02
Zn  0.0000  0.0000  0.0000 [16 per cell]  12 Zn 2.93, 2 Nb 2.99
Zn  0.0116  0.3750  0.8750 [48 per cell]  2 Fe 2.44, 10 Zn 2.60-2.73
Zn  0.0598  0.0598  0.3236 [96 per cell]  8 Zn 2.54-2.81, 1 Fe 2.70
Fe  0.0000  0.0000  0.5000 [16 per cell]  12 Zn 2.44-2.70

=====

[17]
# Nb2ZnFe

A geometry-optimized Nb2ZnFe structure (GGA-PBE, OQMD).

Values from the calculation:
**ΔH_f (0 K)**: 0.233 eV/atom

Lattice parameters (Å, degrees): 6.2735 6.2735 6.2735 90.00 90.00 90.00
With the nearest neighbours (Å) after each atom.
Space group F-43m (No. 216)
Asymmetric unit:
Nb  0.0000  0.0000  0.0000 [4 per cell]  4 Fe 2.72, 4 Nb 2.72
Nb  0.2500  0.2500  0.2500 [4 per cell]  4 Nb 2.72, 4 Zn 2.72
Zn  0.0000  0.0000  0.5000 [4 per cell]  4 Nb 2.72, 4 Fe 2.72
Fe  0.2500  0.2500  0.7500 [4 per cell]  4 Nb 2.72, 4 Zn 2.72

=====

[18]
# ZrNbFe2

A geometry-optimized ZrNbFe2 structure (GGA-PBE, OQMD).

Values from the calculation:
**ΔH_f (0 K)**: 0.101 eV/atom

Lattice parameters (Å, degrees): 6.2378 6.2378 6.2378 90.00 90.00 90.00
With the nearest neighbours (Å) after each atom.
Space group F-43m (No. 216)
Asymmetric unit:
Zr  0.0000  0.0000  0.0000 [4 per cell]  4 Fe 2.70, 4 Nb 2.70
Nb  0.2500  0.2500  0.7500 [4 per cell]  4 Zr 2.70, 4 Fe 2.70
Fe  0.0000  0.0000  0.5000 [4 per cell]  4 Nb 2.70, 4 Fe 2.70
Fe  0.2500  0.2500  0.2500 [4 per cell]  4 Zr 2.70, 4 Fe 2.70

=====

[19]
# ZrNbFe

A geometry-optimized ZrNbFe structure (GGA-PBE, OQMD).

Values from the calculation:
**Offset from the most stable computed form**: 0.0 meV/atom
**ΔH_f (0 K)**: 0.190 eV/atom

Lattice parameters (Å, degrees): 6.0681 6.0681 6.0681 90.00 90.00 90.00
With the nearest neighbours (Å) after each atom.
Space group F-43m (No. 216)
Asymmetric unit:
Zr  0.0000  0.0000  0.0000 [4 per cell]  4 Fe 2.63
Nb  0.0000  0.0000  0.5000 [4 per cell]  4 Fe 2.63
Fe  0.2500  0.2500  0.7500 [4 per cell]  4 Zr 2.63, 4 Nb 2.63

=====

[20]
# Zr2NbFe2

A geometry-optimized Zr2NbFe2 structure (GGA-PBE, OQMD).

Values from the calculation:
**ΔH_f (0 K)**: 0.385 eV/atom

Lattice parameters (Å, degrees): 4.2097 4.2097 10.0591 90.00 90.00 90.00
With the nearest neighbours (Å) after each atom.
Space group I4/mmm (No. 139)
Asymmetric unit:
Zr  0.0000  0.5000  0.2500 [4 per cell]  4 Fe 2.59
Nb  0.0000  0.0000  0.0000 [2 per cell]  8 Fe 3.14, 8 Zr 3.28
Fe  0.0000  0.0000  0.3994 [4 per cell]  1 Fe 2.02

=====

[21]
# Nd3Fe2

A geometry-optimized Nd3Fe2 structure (GGA-PBE, OQMD).

Values from the calculation:
**ΔH_f (0 K)**: 0.260 eV/atom

Lattice parameters (Å, degrees): 6.9292 6.9292 18.3291 90.00 90.00 120.00
With the nearest neighbours (Å) after each atom.
Space group R-3c (No. 167, hexagonal axes)
Asymmetric unit:
Nd  0.0000  0.3712  0.2500 [18 per cell]  4 Fe 2.81-2.92
Fe  0.0000  0.0000  0.1884 [12 per cell]  1 Fe 2.26

=====

[22]
# Nd3Fe2

A geometry-optimized Nd3Fe2 structure (GGA-PBE, OQMD).

Values from the calculation:
**ΔH_f (0 K)**: 0.124 eV/atom

Lattice parameters (Å, degrees): 13.4754 4.0212 9.9324 90.00 111.70 90.00
With the nearest neighbours (Å) after each atom.
Space group C2/m (No. 12)
Asymmetric unit:
Nd  0.1110  0.0000  0.1747 [4 per cell]  2 Fe 2.89
Nd  0.1346  0.5000  0.4915 [4 per cell]  6 Fe 2.96-3.01
Nd  0.1346  0.5000  0.8722 [4 per cell]  4 Fe 2.94-3.03
Fe  0.0421  0.0000  0.6303 [4 per cell]  2 Fe 2.27-2.41
Fe  0.2234  0.0000  0.7325 [4 per cell]  1 Fe 2.27

=====

[23]
# NdFe

A geometry-optimized NdFe structure (GGA-PBE, OQMD).

Values from the calculation:
**ΔH_f (0 K)**: 1.406 eV/atom

Lattice parameters (Å, degrees): 5.9841 5.9841 5.9841 90.00 90.00 90.00
With the nearest neighbours (Å) after each atom.
Space group F-43m (No. 216)
Asymmetric unit:
Nd  0.0000  0.0000  0.0000 [4 per cell]  4 Fe 2.59
Fe  0.2500  0.2500  0.2500 [4 per cell]  4 Nd 2.59

=====

[24]
# NdFe2

A geometry-optimized NdFe2 structure (GGA-PBE, OQMD).

Values from the calculation:
**ΔH_f (0 K)**: 1.174 eV/atom

Lattice parameters (Å, degrees): 5.0283 5.0283 5.4883 90.00 90.00 90.00
With the nearest neighbours (Å) after each atom.
Space group P4_2/mnm (No. 136)
Asymmetric unit:
Nd  0.0000  0.0000  0.0000 [2 per cell]  2 Fe 2.53
Fe  0.1438  0.1438  0.5000 [4 per cell]  1 Fe 2.04

=====

[25]
# NdFe

A geometry-optimized NdFe structure (GGA-PBE, OQMD).

Values from the calculation:
**ΔH_f (0 K)**: 0.650 eV/atom

Lattice parameters (Å, degrees): 3.4526 3.4526 4.3939 90.00 90.00 120.00
With the nearest neighbours (Å) after each atom.
Space group P-6m2 (No. 187)
Asymmetric unit:
Nd  0.0000  0.0000  0.0000 [1 per cell]  6 Fe 2.97
Fe  0.3333  0.6667  0.5000 [1 per cell]  6 Nd 2.97

=====

[26]
# NdFe

A geometry-optimized NdFe structure (GGA-PBE, OQMD).

Values from the calculation:
**ΔH_f (0 K)**: 0.629 eV/atom

Lattice parameters (Å, degrees): 5.7254 5.7254 5.7254 90.00 90.00 90.00
With the nearest neighbours (Å) after each atom.
Space group Fm-3m (No. 225)
Asymmetric unit:
Nd  0.0000  0.0000  0.0000 [4 per cell]  6 Fe 2.86
Fe  0.0000  0.0000  0.5000 [4 per cell]  6 Nd 2.86

=====

[27]
# NdFe

A geometry-optimized NdFe structure (GGA-PBE, OQMD).

Values from the calculation:
**ΔH_f (0 K)**: 1.385 eV/atom

Lattice parameters (Å, degrees): 4.2465 4.2465 6.7685 90.00 90.00 120.00
With the nearest neighbours (Å) after each atom.
Space group P6_3mc (No. 186)
Asymmetric unit:
Nd  0.3333  0.6667  0.0000 [2 per cell]  4 Fe 2.55-2.59
Fe  0.3333  0.6667  0.6233 [2 per cell]  4 Nd 2.55-2.59

=====

[28]
# Nd2Fe

A geometry-optimized Nd2Fe structure (GGA-PBE, OQMD).

Values from the calculation:
**ΔH_f (0 K)**: 1.446 eV/atom

Lattice parameters (Å, degrees): 8.6036 8.6036 8.6036 90.00 90.00 90.00
With the nearest neighbours (Å) after each atom.
Space group Fd-3m (No. 227, origin choice 2)
Asymmetric unit:
Nd  0.0000  0.0000  0.0000 [16 per cell]  6 Nd 3.04
Fe  0.1250  0.1250  0.6250 [8 per cell]  12 Nd 3.57, 4 Fe 3.73